Record 1
In2TcTeOs | PBE | relaxed

Summary:
- SG = No. 123
- density of states at the Fermi level (states/eV per cell) = 5.9
- E (eV/cell) = -19.7
- energy relative to the elements, uncorrected (eV per formula unit) = 10.469

Cell lengths 5.5592, 4.9293, 5.5592 Å; angles 90.00, 90.00, 90.00 degrees
Last column: nearest neighbours and their distance in Å.
Element x y z (fractional)
In (0.0000, 0.0000, 0.5000)  2 Te 2.78
Te (0.0000, 0.0000, 0.0000)  2 Tc 2.46
Tc (0.0000, 0.5000, 0.0000)  2 Te 2.46
In (0.5000, 0.0000, 0.0000)  2 Te 2.78
Os (0.5000, 0.5000, 0.5000)  8 In 3.71, 4 Tc 3.93

Record 2
YMg2Cd | PBE | relaxed

Summary:
- SG = No. 10
- energy of formation (eV/atom) = -0.12
- density of states at the Fermi level (states/eV per cell) = 2.6
- E (eV/cell) = -11.0

Cell lengths 5.0448, 3.3694, 5.9627 Å; angles 80.97, 90.00, 90.00 degrees
Last column: nearest neighbours and their distance in Å.
Element x y z (fractional)
Mg (0.0000, 0.6191, 0.5097)  2 Cd 2.97, 2 Mg 3.08-3.13, 2 Y 3.30
Cd (0.5000, 0.7500, 0.7500)  4 Mg 2.97, 2 Y 3.19
Mg (0.0000, 0.8809, 0.9903)  2 Cd 2.97, 2 Mg 3.08-3.13, 2 Y 3.30
Y (0.5000, 0.2500, 0.2500)  2 Cd 3.19, 8 Mg 3.30-3.50, 2 Y 3.37

Record 3
GdYCu4 | PBE | relaxed

Summary:
- SG = No. 44
- energy of formation (eV/atom) = -0.26
- density of states at the Fermi level (states/eV per cell) = 3.6
- E (eV/cell) = -38.5
- energy above the lowest structure with this stoichiometry (eV/f.u.) = 0.00

Cell lengths 5.4866, 5.4866, 5.4866 Å; angles 133.70, 101.91, 95.89 degrees
Last column: nearest neighbours and their distance in Å.
Element x y z (fractional)
Cu (0.0338, 0.8349, 0.1989)  4 Cu 2.49-2.75
Cu (0.8662, 0.1657, 0.7006)  4 Cu 2.49-2.77
Cu (0.4651, 0.1657, 0.2994)  4 Cu 2.49-2.77
Gd (0.4583, 0.4583, 0.0000)  12 Cu 2.98-3.13
Cu (0.6361, 0.8349, 0.8011)  4 Cu 2.49-2.75
Y (0.0409, 0.5409, 0.5000)  12 Cu 2.97-3.13

Record 4
ZrCdCl2 | PBE | relaxed

Summary:
- SG = No. 65
- density of states at the Fermi level (states/eV per cell) = 1.2
- E (eV/cell) = -16.6
- energy above the lowest structure with this stoichiometry (eV/f.u.) = 0.80
- energy relative to the elements, uncorrected (eV per formula unit) = -3.492

Cell lengths 3.5032, 3.5032, 10.8207 Å; angles 90.00, 90.00, 126.14 degrees
Last column: nearest neighbours and their distance in Å.
Element x y z (fractional)
Cl (0.0000, 0.0000, 0.0632)  2 Zr 2.57
Cd (0.5000, 0.5000, 0.7500)  6 Cd 3.17-3.50
Zr (0.5000, 0.5000, 0.2500)  4 Cl 2.57
Cl (0.0000, 0.0000, 0.4368)  2 Zr 2.57

Record 5
ReP2OsCl | PBE | relaxed

Summary:
- SG = No. 123
- density of states at the Fermi level (states/eV per cell) = 7.0
- E (eV/cell) = -28.9
- energy above the lowest structure with this stoichiometry (eV/f.u.) = 0.20
- energy relative to the elements, uncorrected (eV per formula unit) = 7.481

Cell lengths 4.5981, 4.5981, 4.7645 Å; angles 90.00, 90.00, 90.00 degrees
Last column: nearest neighbours and their distance in Å.
Element x y z (fractional)
Re (0.0000, 0.0000, 0.0000)  4 P 2.30, 2 Cl 2.38
P (0.0000, 0.5000, 0.0000)  2 Re 2.30
Cl (0.0000, 0.0000, 0.5000)  2 Re 2.38
P (0.5000, 0.0000, 0.0000)  2 Re 2.30
Os (0.5000, 0.5000, 0.5000)  4 Cl 3.25, 8 P 3.31

Record 6
Cd2Cu7Sb2Pd | PBE | relaxed

Summary:
- SG = No. 12
- density of states at the Fermi level (states/eV per cell) = 3.4
- E (eV/cell) = -42.8
- energy relative to the elements, uncorrected (eV per formula unit) = 1.104

Cell lengths 3.6030, 3.6030, 16.0942 Å; angles 83.78, 83.78, 90.04 degrees
Last column: nearest neighbours and their distance in Å.
Element x y z (fractional)
Cu (0.4404, 0.9402, 0.1225)  6 Cu 2.55-2.66, 2 Pd 2.65, 2 Cd 2.77
Sb (0.8110, 0.8110, 0.3797)  5 Cu 2.63-2.81
Cu (0.2744, 0.2744, 0.4546)  5 Sb 2.63-2.81, 4 Cu 2.91-2.95
Cu (0.0598, 0.5596, 0.8775)  6 Cu 2.55-2.66, 2 Pd 2.65, 2 Cd 2.77
Cd (0.6251, 0.6251, 0.7451)  4 Cu 2.77
Cu (0.9402, 0.4404, 0.1225)  6 Cu 2.55-2.66, 2 Pd 2.65, 2 Cd 2.77
Cu (0.5000, 0.5000, 0.0000)  4 Pd 2.55, 8 Cu 2.65-2.66
Cd (0.3749, 0.3749, 0.2549)  4 Cu 2.77
Cu (0.7256, 0.7256, 0.5454)  5 Sb 2.63-2.81, 4 Cu 2.91-2.95
Pd (0.0000, 0.0000, 0.0000)  12 Cu 2.55-2.65
Cu (0.5596, 0.0598, 0.8775)  6 Cu 2.55-2.66, 2 Pd 2.65, 2 Cd 2.77
Sb (0.1890, 0.1890, 0.6203)  5 Cu 2.63-2.81

Record 7
CuAuSeN2 | PBE | relaxed

Summary:
- SG = No. 123
- density of states at the Fermi level (states/eV per cell) = 2.2
- E (eV/cell) = -18.9
- energy above the lowest structure with this stoichiometry (eV/f.u.) = 1.36
- energy relative to the elements, uncorrected (eV per formula unit) = 8.638

Cell lengths 3.8971, 3.8971, 6.5312 Å; angles 90.00, 90.00, 90.00 degrees
Last column: nearest neighbours and their distance in Å.
Element x y z (fractional)
N (0.5000, 0.0000, 0.0000)  2 Au 1.95
N (0.0000, 0.5000, 0.0000)  2 Au 1.95
Se (0.0000, 0.0000, 0.5000)  4 Cu 2.76
Au (0.0000, 0.0000, 0.0000)  4 N 1.95
Cu (0.5000, 0.5000, 0.5000)  4 Se 2.76

Record 8
CrOs2W | PBE | relaxed

Summary:
- SG = No. 123
- energy of formation (eV/atom) = 0.09
- density of states at the Fermi level (states/eV per cell) = 4.5
- E (eV/cell) = -44.7
- energy above the lowest structure with this stoichiometry (eV/f.u.) = 0.00

Cell lengths 2.7624, 2.7624, 7.4521 Å; angles 90.00, 90.00, 90.00 degrees
Last column: nearest neighbours and their distance in Å.
Element x y z (fractional)
Os (0.0000, 0.0000, 0.9822)  4 Cr 2.61, 4 Os 2.76, 4 W 2.79
W (0.5000, 0.5000, 0.2500)  4 W 2.76, 8 Os 2.79
Os (0.0000, 0.0000, 0.5178)  4 Cr 2.61, 4 Os 2.76, 4 W 2.79
Cr (0.5000, 0.5000, 0.7500)  8 Os 2.61, 4 Cr 2.76

Record order is preserved below.
Theoretical density: 7.036, 4.146, 7.582, 4.251, 7.811, 8.200, 6.152, 17.997 g/cm³